#one
In2NiW2: relaxed, GGA-PBE.

Unit cell a=7.9234 b=7.9234 c=7.9234 alpha=153.57 beta=153.57 gamma=37.73
Closest atoms and distances in Å follow each position.
Fractional positions:
In  0.0943  0.0943  0.0000  1 In 2.83, 4 Ni 2.93, 4 W 2.96
In  0.9057  0.9057  0.0000  1 In 2.83, 4 Ni 2.93, 4 W 2.96
Ni  0.5000  0.5000  0.0000  8 In 2.93
W  0.2500  0.7500  0.5000  4 W 2.56
W  0.7500  0.2500  0.5000  4 W 2.56

Total magnetic moment in μB/atom: 0.000
Crystal system: tetragonal
V in Å³ per atom: 19.68

***

#two
In2NiW2: relaxed, GGA-PBE.

Unit cell a=7.4470 b=7.4470 c=3.4554 alpha=90.00 beta=90.00 gamma=90.00
Closest atoms and distances in Å follow each position.
Fractional positions:
In  0.1794  0.3206  0.0000  2 Ni 2.74, 6 W 2.77-2.83
In  0.3206  0.8206  0.0000  2 Ni 2.74, 6 W 2.77-2.83
In  0.6794  0.1794  0.0000  2 Ni 2.74, 6 W 2.77-2.83
In  0.8206  0.6794  0.0000  2 Ni 2.74, 6 W 2.77-2.83
Ni  0.0000  0.0000  0.0000  4 In 2.74
Ni  0.5000  0.5000  0.0000  4 In 2.74
W  0.1150  0.6150  0.5000  1 W 2.42
W  0.3850  0.1150  0.5000  1 W 2.42
W  0.6150  0.8850  0.5000  1 W 2.42
W  0.8850  0.3850  0.5000  1 W 2.42

Total magnetic moment in μB/atom: 0.000
Crystal system: tetragonal
V in Å³ per atom: 19.16

***

Tell me which of them is the most stable. Sure, it is #one.